(1)
Re (PBE, optimized geometry); DFT formation energy = 1.201 eV/atom; E above lowest polymorph = 1.201 eV/f.u.; calculated volume = 16.86 Å³/atom; calculated density = 18.34 Mg/m³; size of the total moment = 0.00 μB/f.u.; SG = P4/mbm (127)
1.0
5.2490 0.0000 0.0000
0.0000 5.2490 0.0000
0.0000 0.0000 2.4477
Re
4
Cartesian
0.9633 1.6612 0.0000
1.6612 4.2857 0.0000
3.5878 0.9633 0.0000
4.2857 3.5878 0.0000



(2)
Re3Rh2 (PBE, optimized geometry); DFT formation energy = -0.037 eV/atom; E above lowest polymorph = 0.000 eV/f.u.; calculated volume = 14.61 Å³/atom; calculated density = 17.37 Mg/m³; size of the total moment = 0.00 μB/f.u.; SG = C2/m (12)
1.0
6.9621 -1.9779 0.0000
6.9621 1.9779 0.0000
-0.5177 0.0000 2.6527
Re Rh
3 2
Cartesian
0.0000 0.0000 0.0000
2.7093 0.0000 0.5268
10.6972 0.0000 2.1260
5.3927 0.0000 1.0675
8.0139 0.0000 1.5853